Entry 1:
VASP calculation (GGA-PBE) on a geometry-optimized Pm2GdSb structure.

```
Pm2GdSb
1.0
4.8504 0.0000 0.0000
0.0000 4.8864 0.0000
0.0000 0.0000 4.8864
Sb Pm Gd
1 2 1
direct
0.5000 0.0000 0.0000 Sb
0.0000 0.0000 0.5000 Pm
0.0000 0.5000 0.0000 Pm
0.5000 0.5000 0.5000 Gd
```

Values from the calculation:
* N(E_F): 4.55 states/eV/f.u.
* ρ: 8.2 g/cm³
* formation energy (no corrections): -207 kJ/mol of formula units
* magnetization: 1.8490 μB/atom

Entry 2:
VASP calculation (GGA-PBE) on a geometry-optimized PmGd2Sb structure.

```
PmGd2Sb
1.0
4.8761 0.0000 0.0000
0.0000 4.8412 0.0000
0.0000 0.0000 4.8412
Gd Sb Pm
2 1 1
direct
0.0000 0.0000 0.5000 Gd
0.0000 0.5000 0.0000 Gd
0.5000 0.0000 0.0000 Sb
0.5000 0.5000 0.5000 Pm
```

Values from the calculation:
* N(E_F): 4.69 states/eV/f.u.
* ρ: 8.4 g/cm³
* formation energy (no corrections): -207 kJ/mol of formula units
* magnetization: 3.7110 μB/atom

Entry 3:
VASP calculation (GGA-PBE) on a geometry-optimized Pm2GdSb structure.

```
Pm2GdSb
1.0
4.1344 0.0000 0.0000
0.0000 4.1344 0.0000
0.0000 0.0000 7.1641
Gd Sb Pm
1 1 2
direct
0.5000 0.5000 0.0000 Gd
0.5000 0.5000 0.5000 Sb
0.0000 0.0000 0.7230 Pm
0.0000 0.0000 0.2770 Pm
```

Values from the calculation:
* N(E_F): 5.92 states/eV/f.u.
* ρ: 7.7 g/cm³
* formation energy (no corrections): -195 kJ/mol of formula units
* magnetization: 2.1136 μB/atom

Entry 4:
VASP calculation (GGA-PBE) on a geometry-optimized Pm2GdSb structure.

```
Pm2GdSb
1.0
-3.6717 0.3251 4.0667
-5.3657 0.1141 -1.1497
-3.1563 -4.3274 1.2001
Sb Pm Gd
1 2 1
direct
0.5000 0.5000 0.5000 Sb
0.7501 0.7501 0.7498 Pm
0.2499 0.2499 0.2502 Pm
0.0000 0.0000 0.0000 Gd
```

Values from the calculation:
* N(E_F): 3.87 states/eV/f.u.
* ρ: 8.1 g/cm³
* formation energy (no corrections): -133 kJ/mol of formula units
* magnetization: 1.8843 μB/atom

Q: What is the magnetization in the fourth record?
A: 1.8843 μB/atom

Q: formation energy (no corrections) of number 3 (Pm2GdSb)?
A: -195 kJ/mol of formula units

Q: The highest N(E_F) belongs to which entry?
A: number 3